VASP calculation (GGA+U) on a geometry-optimized Rb2NiAs2O6 structure.

The calculation puts the total energy at -58.2 eV/cell.

Cell lengths 6.753, 6.753, 6.753 Å; angles 51.53, 51.53, 51.53 degrees
Element x y z (fractional)
Rb (0.221, 0.221, 0.221)
Rb (0.779, 0.779, 0.779)
Ni (0.000, 0.000, 0.000)
As (0.429, 0.429, 0.429)
As (0.571, 0.571, 0.571)
O (0.241, 0.241, 0.735)
O (0.241, 0.735, 0.241)
O (0.265, 0.759, 0.759)
O (0.735, 0.241, 0.241)
O (0.759, 0.265, 0.759)
O (0.759, 0.759, 0.265)